Record 1
Entry from the Alexandria database: a relaxed AgPdRhPb crystal (PBE-GGA).

The value obtained for the calculated volume is 17.61 A^3/atom. The density of states at the Fermi level comes out at 0.7219 states/eV per atom. The value obtained for the calculated formation energy is -0.17 eV per formula unit.

The structure belongs to space group F-43m (No. 216); the cell edges are 6.5558, 6.5558 and 6.5558 Å and the angles 90.00°, 90.00° and 90.00°. The inequivalent atoms are Ag at (0.0000, 0.0000, 0.0000), Pd at (0.2500, 0.2500, 0.7500), Rh at (0.2500, 0.2500, 0.2500) and Pb at (0.0000, 0.0000, 0.5000).



Record 2
Entry from the Alexandria database: a relaxed PmY6Sc crystal (PBE-GGA).

The value obtained for the calculated volume is 32.09 A^3/atom. The calculation puts the relative energy among the computed polymorphs at 1.663 eV/f.u. The density of states at the Fermi level comes out at 1.8073 states/eV per atom. The value obtained for the calculated formation energy is 1.65 eV per formula unit.

The structure belongs to space group P-1 (No. 2); the cell edges are 6.5007, 6.7583 and 6.8392 Å and the angles 117.78°, 102.50° and 91.50°. The inequivalent atoms are Pm at (0.0000, 0.0000, 0.0000), Y at (0.2403, 0.5880, 0.4999), Y at (0.2555, 0.5567, 0.0095), Y at (0.2727, 0.0970, 0.5341) and Sc at (0.5000, 0.0000, 0.0000).



Record 3
Entry from the Alexandria database: a relaxed NaLa2YTe4 crystal (PBE-GGA).

For the formation energy without anion corrections, the calculation gives -1436.6 meV/atom. The value obtained for the calculated volume is 32.54 A^3/atom. The density of states at the Fermi level comes out at 0.4363 states/eV per atom.

The structure belongs to space group P2/m (No. 10); the cell edges are 7.7694, 4.5069 and 7.8777 Å and the angles 90.00°, 109.31° and 90.00°. The inequivalent atoms are Na at (0.0000, 0.0000, 0.0000), La at (0.5000, 0.0000, 0.5000), La at (0.5000, 0.5000, 0.0000), Y at (0.0000, 0.5000, 0.5000), Te at (0.2360, 0.0000, 0.7438) and Te at (0.2397, 0.5000, 0.2504).



Record 4
Entry from the Alexandria database: a relaxed CaSmRhPb crystal (PBE-GGA).

The value obtained for the calculated volume is 25.04 A^3/atom. The density of states at the Fermi level comes out at 0.5580 states/eV per atom. The value obtained for the calculated formation energy is -1.71 eV per formula unit.

The structure belongs to space group F-43m (No. 216); the cell edges are 7.3721, 7.3721 and 7.3721 Å and the angles 90.00°, 90.00° and 90.00°. The inequivalent atoms are Ca at (0.0000, 0.0000, 0.0000), Sm at (0.0000, 0.0000, 0.5000), Rh at (0.2500, 0.2500, 0.2500) and Pb at (0.2500, 0.2500, 0.7500).



Record 5
Entry from the Alexandria database: a relaxed TbHo3Sc2Se6 crystal (PBE-GGA).

For the formation energy without anion corrections, the calculation gives -1681.2 meV/atom. The value obtained for the calculated volume is 22.71 A^3/atom. The density of states at the Fermi level comes out at 0.5016 states/eV per atom.

The structure belongs to space group C2/m (No. 12); the cell edges are 6.9179, 12.0316 and 6.9446 Å and the angles 90.00°, 109.46° and 90.00°. The inequivalent atoms are Tb at (0.0000, 0.0000, 0.0000), Ho at (0.0000, 0.1601, 0.5000), Ho at (0.0000, 0.5000, 0.5000), Sc at (0.0000, 0.3349, 0.0000), Se at (0.2355, 0.5000, 0.2388) and Se at (0.2468, 0.3277, 0.7559).



Record 6
Entry from the Alexandria database: a relaxed Ba3Si6N4O9 crystal (PBE-GGA).

For the formation energy without anion corrections, the calculation gives -2396.5 meV/atom. The value obtained for the calculated volume is 14.56 A^3/atom. The density of states at the Fermi level comes out at 0.0000 states/eV per atom.

The structure belongs to space group P3 (No. 143); the cell edges are 7.3233, 7.3233 and 6.8982 Å and the angles 90.00°, 90.00° and 120.00°. The inequivalent atoms are Ba at (0.0000, 0.0000, 0.0000), Ba at (0.3333, 0.6667, 0.1843), Ba at (0.6667, 0.3333, 0.1217), Si at (0.0749, 0.6240, 0.6935), Si at (0.2533, 0.0400, 0.4831), N at (0.0000, 0.0000, 0.5317), N at (0.1307, 0.4256, 0.6293), O at (0.0177, 0.6246, 0.9193), O at (0.2904, 0.0109, 0.2566) and O at (0.4097, 0.2914, 0.5441).



Record 7
Entry from the Alexandria database: a relaxed CeTmN crystal (PBE-GGA).

For the formation energy without anion corrections, the calculation gives -744.8 meV/atom. The value obtained for the calculated volume is 22.58 A^3/atom. The calculation puts the relative energy among the computed polymorphs at 0.708 eV/f.u. The density of states at the Fermi level comes out at 1.2415 states/eV per atom.

The structure belongs to space group I4mm (No. 107); the cell edges are 3.1936, 3.1936 and 13.2838 Å and the angles 90.00°, 90.00° and 90.00°. The inequivalent atoms are Ce at (0.0000, 0.0000, 0.0000), Tm at (0.0000, 0.0000, 0.7121) and N at (0.0000, 0.0000, 0.1668).



Record 8
Entry from the Alexandria database: a relaxed CaMnHg crystal (PBE-GGA).

The value obtained for the calculated volume is 27.41 A^3/atom. The density of states at the Fermi level comes out at 1.1621 states/eV per atom. The value obtained for the calculated formation energy is 0.72 eV per formula unit.

The structure belongs to space group F-43m (No. 216); the cell edges are 6.9026, 6.9026 and 6.9026 Å and the angles 90.00°, 90.00° and 90.00°. The inequivalent atoms are Ca at (0.0000, 0.0000, 0.0000), Mn at (0.0000, 0.0000, 0.5000) and Hg at (0.2500, 0.2500, 0.7500).



Record 9
Entry from the Alexandria database: a relaxed LiPrYGa crystal (PBE-GGA).

The value obtained for the calculated volume is 25.01 A^3/atom. The density of states at the Fermi level comes out at 0.9692 states/eV per atom. The value obtained for the calculated formation energy is -1.25 eV per formula unit.

The structure belongs to space group F-43m (No. 216); the cell edges are 7.3686, 7.3686 and 7.3686 Å and the angles 90.00°, 90.00° and 90.00°. The inequivalent atoms are Li at (0.0000, 0.0000, 0.0000), Pr at (0.2500, 0.2500, 0.7500), Y at (0.2500, 0.2500, 0.2500) and Ga at (0.0000, 0.0000, 0.5000).



Record 10
Entry from the Alexandria database: a relaxed KIrAu2 crystal (PBE-GGA).

The value obtained for the calculated volume is 20.26 A^3/atom. The calculation puts the relative energy among the computed polymorphs at 1.094 eV/f.u. The density of states at the Fermi level comes out at 0.4923 states/eV per atom. The value obtained for the calculated formation energy is 2.25 eV per formula unit.

The structure belongs to space group Pmmm (No. 47); the cell edges are 2.7027, 5.3068 and 5.6499 Å and the angles 90.00°, 90.00° and 90.00°. The inequivalent atoms are K at (0.0000, 0.0000, 0.0000), Ir at (0.5000, 0.0000, 0.5000), Au at (0.0000, 0.5000, 0.5000) and Au at (0.5000, 0.5000, 0.0000).



Record 11
Entry from the Alexandria database: a relaxed Th2Ga2Cu15 crystal (PBE-GGA).

The value obtained for the calculated volume is 14.58 A^3/atom. The density of states at the Fermi level comes out at 0.5389 states/eV per atom. The value obtained for the calculated formation energy is -2.49 eV per formula unit.

The structure belongs to space group R-3m (No. 166, hexagonal axes); the cell edges are 8.6784, 8.6784 and 12.7419 Å and the angles 90.00°, 90.00° and 120.00°. The inequivalent atoms are Th at (0.0000, 0.0000, 0.1504), Ga at (0.0000, 0.0000, 0.3984), Cu at (0.0000, 0.2992, 0.5000), Cu at (0.0000, 0.5000, 0.0000) and Cu at (0.9995, 0.4998, 0.3471).



Record 12
Entry from the Alexandria database: a relaxed Li4I2O crystal (PBE-GGA).

For the formation energy without anion corrections, the calculation gives -1445.7 meV/atom. The value obtained for the calculated volume is 19.76 A^3/atom. The density of states at the Fermi level comes out at 0.0000 states/eV per atom.

The structure belongs to space group I4/mmm (No. 139); the cell edges are 4.0909, 4.0909 and 16.5337 Å and the angles 90.00°, 90.00° and 90.00°. The inequivalent atoms are Li at (0.0000, 0.0000, 0.1143), Li at (0.0000, 0.5000, 0.0000), I at (0.0000, 0.0000, 0.3559) and O at (0.0000, 0.0000, 0.0000).



Question: Number 9 is which compound?
Answer: LiPrYGa



Please write out number 11 again, unchanged.
Entry from the Alexandria database: a relaxed Th2Ga2Cu15 crystal (PBE-GGA).

The value obtained for the calculated volume is 14.58 A^3/atom. The density of states at the Fermi level comes out at 0.5389 states/eV per atom. The value obtained for the calculated formation energy is -2.49 eV per formula unit.

The structure belongs to space group R-3m (No. 166, hexagonal axes); the cell edges are 8.6784, 8.6784 and 12.7419 Å and the angles 90.00°, 90.00° and 120.00°. The inequivalent atoms are Th at (0.0000, 0.0000, 0.1504), Ga at (0.0000, 0.0000, 0.3984), Cu at (0.0000, 0.2992, 0.5000), Cu at (0.0000, 0.5000, 0.0000) and Cu at (0.9995, 0.4998, 0.3471).